AlGaAu3 | PBE-GGA | optimized geometry

The calculation puts the energy above the most stable polymorph in this dataset at 0.0 meV/atom. The space group is No. 59. For the total energy, the calculation gives -35.57 eV for the cell shown.

The structure in CIF format:
```
data_AlGaAu3
_symmetry_space_group_name_H-M 'P 1'
_symmetry_Int_Tables_number 1
_symmetry_space_group_name_Hall 'P 1'
_cell_length_a 4.180
_cell_length_b 5.501
_cell_length_c 8.062
_cell_angle_alpha 90.00
_cell_angle_beta 90.00
_cell_angle_gamma 90.00
loop_
_atom_site_label
_atom_site_fract_x
_atom_site_fract_y
_atom_site_fract_z
Al1 0.000 0.000 0.574
Al2 0.500 0.500 0.426
Ga1 0.500 0.000 0.126
Ga2 0.000 0.500 0.874
Au1 0.000 0.750 0.303
Au2 0.500 0.750 0.697
Au3 0.500 0.250 0.697
Au4 0.000 0.250 0.303
Au5 0.000 0.000 0.916
Au6 0.500 0.500 0.084
```